This record from the Alexandria database describes an optimized crystal structure of SmNp6S8. The functional is PBE.

```
data_SmNp6S8
_cell_length_a 11.071
_cell_length_b 11.071
_cell_length_c 11.071
_cell_angle_alpha 90.00
_cell_angle_beta 90.00
_cell_angle_gamma 90.00
_space_group_name_H-M_alt 'F m -3 m'
_space_group_IT_number 225
_space_group_name_Hall '-F 4 2 3'
loop_
_atom_site_label
_atom_site_fract_x
_atom_site_fract_y
_atom_site_fract_z
_atom_site_occupancy
Sm1 0.000 0.000 0.000 1
Np1 0.000 0.250 0.250 1
S1 0.000 0.000 0.254 1
S2 0.250 0.250 0.250 1
```

The density comes out at 9.0 g/cm3. For the total energy, the calculation gives -9.16 eV per atom.